one:
This record from Alexandria via LeMat-Bulk describes a geometry-optimized AlTlAu4 structure. The functional is GGA-PBE.

Calculated volume: 124 Å³/cell
Size of the total moment: 0.00 μB/f.u.
SG: F-43m, No. 216

Geometry as POSCAR:
```
AlTlAu4
1.0
0.000 3.957 3.957
3.957 0.000 3.957
3.957 3.957 0.000
Au Al Tl
4 1 1
Cartesian
2.965 2.965 2.965
4.949 2.965 4.949
4.949 4.949 2.965
2.965 4.949 4.949
0.000 0.000 0.000
5.936 5.936 5.936
```



two:
This record from Alexandria via LeMat-Bulk describes a geometry-optimized AlTlAu4 structure. The functional is GGA-PBE.

Calculated volume: 244 Å³/cell
Size of the total moment: 0.00 μB/f.u.
SG: C2/m, No. 12

Geometry as POSCAR:
```
AlTlAu4
1.0
6.021 -0.222 -1.268
-0.268 6.079 -2.338
-0.971 -0.769 7.199
Au Al Tl
8 2 2
Cartesian
3.597 5.057 -1.330
0.146 3.887 1.001
-0.210 4.754 -1.829
1.185 0.031 4.923
4.636 1.202 2.592
-0.059 1.325 -0.510
1.038 3.361 3.642
3.744 1.727 -0.049
3.081 1.918 4.633
1.701 3.170 -1.040
1.467 0.833 1.996
3.316 4.256 1.597
```



Energies relative to the most stable structure are one 197; two 0, reported in meV per atom.